(1)
VASP calculation (PBE-GGA) on a geometry-optimized RbPdF structure.

E above lowest polymorph in eV per atom: 0.685
Total magnetic moment in μB per atom: 0.013
Symmetry: No. 129
Formation energy from raw total energies in eV per atom: -0.66

a = 4.6702 Å, b = 4.6702 Å, c = 6.2794 Å
α = 90.00°, β = 90.00°, γ = 90.00°
Positions (direct):
1 Rb 0.0000 0.5000 0.2363
2 Rb 0.5000 0.0000 0.7637
3 Pd 0.0000 0.5000 0.7200
4 Pd 0.5000 0.0000 0.2800
5 F 0.0000 0.0000 0.5000
6 F 0.5000 0.5000 0.5000



(2)
VASP calculation (PBE-GGA) on a geometry-optimized Rb3PdF8 structure.

E above lowest polymorph in eV per atom: 0.000
Total magnetic moment in μB per atom: 0.101
Symmetry: No. 186
Formation energy from raw total energies in eV per atom: -2.00

a = 7.2823 Å, b = 8.4862 Å, c = 8.4862 Å
α = 120.00°, β = 90.00°, γ = 90.00°
Site moments in Bohr magnetons follow the coordinates.
Positions (direct):
1 Rb 0.7030 0.6847 0.8423  0.00
2 Rb 0.7030 0.1577 0.3153  0.00
3 Rb 0.7030 0.1577 0.8423  0.00
4 Rb 0.2030 0.3153 0.1577  0.00
5 Rb 0.2030 0.8423 0.6847  0.00
6 Rb 0.2030 0.8423 0.1577  0.00
7 Pd 0.1551 0.3333 0.6667  0.23
8 Pd 0.6551 0.6667 0.3333  0.23
9 F 0.0022 0.1174 0.5587  0.04
10 F 0.0022 0.4413 0.8826  0.04
11 F 0.0022 0.4413 0.5587  0.04
12 F 0.5022 0.8826 0.4413  0.04
13 F 0.5022 0.5587 0.1174  0.04
14 F 0.5022 0.5587 0.4413  0.04
15 F 0.8027 0.4459 0.2230  0.06
16 F 0.8027 0.7770 0.5541  0.06
17 F 0.8027 0.7770 0.2230  0.06
18 F 0.3027 0.5541 0.7770  0.06
19 F 0.3027 0.2230 0.4459  0.06
20 F 0.3027 0.2230 0.7770  0.06
21 F 0.6337 0.3333 0.6667  0.38
22 F 0.1337 0.6667 0.3333  0.38
23 F 0.9604 0.0000 0.0000  0.17
24 F 0.4604 0.0000 0.0000  0.17